--- i ---
# NaBeIn | the Alexandria database | GGA-PBE | relaxed
data_NaBeIn
_space_group_name_H-M_alt 'P 1'
_space_group_IT_number 1
_space_group_name_Hall 'P 1'
_cell_length_a 3.991
_cell_length_b 5.300
_cell_length_c 6.967
_cell_angle_alpha 92.55
_cell_angle_beta 105.78
_cell_angle_gamma 93.01
loop_
_atom_site_label
_atom_site_fract_x
_atom_site_fract_y
_atom_site_fract_z
Na1 0.000 0.000 0.000
Na2 0.489 0.997 0.502
Be1 0.220 0.486 0.440
Be2 0.784 0.510 0.569
In1 0.390 0.507 0.799
In2 0.615 0.490 0.210
# **Density of states at the Fermi level**: 2.11 states/eV/cell


--- ii ---
# NaBeIn | the Alexandria database | GGA-PBE | relaxed
data_NaBeIn
_space_group_name_H-M_alt 'P -1'
_space_group_IT_number 2
_space_group_name_Hall '-P 1'
_cell_length_a 3.824
_cell_length_b 3.824
_cell_length_c 11.344
_cell_angle_alpha 89.61
_cell_angle_beta 89.71
_cell_angle_gamma 60.01
loop_
_atom_site_label
_atom_site_fract_x
_atom_site_fract_y
_atom_site_fract_z
Na1 0.170 0.174 0.147
Be1 0.167 0.167 0.499
In1 0.499 0.498 0.641
# **Density of states at the Fermi level**: 1.66 states/eV/cell


--- iii ---
# NaBeIn | the Alexandria database | GGA-PBE | relaxed
data_NaBeIn
_space_group_name_H-M_alt 'A m m 2'
_space_group_IT_number 38
_space_group_name_Hall 'A 2 -2'
_cell_length_a 4.156
_cell_length_b 4.354
_cell_length_c 14.705
_cell_angle_alpha 90.00
_cell_angle_beta 90.00
_cell_angle_gamma 90.00
loop_
_atom_site_label
_atom_site_fract_x
_atom_site_fract_y
_atom_site_fract_z
Na1 0.000 0.000 0.000
Na2 0.500 0.000 0.401
Be1 0.250 0.000 0.610
In1 0.000 0.000 0.778
In2 0.500 0.000 0.174
# **Density of states at the Fermi level**: 2.27 states/eV/cell


--- iv ---
# NaBeIn | the Alexandria database | GGA-PBE | relaxed
data_NaBeIn
_space_group_name_H-M_alt 'C m c m'
_space_group_IT_number 63
_space_group_name_Hall '-C 2c 2'
_cell_length_a 4.234
_cell_length_b 15.157
_cell_length_c 4.153
_cell_angle_alpha 90.00
_cell_angle_beta 90.00
_cell_angle_gamma 90.00
loop_
_atom_site_label
_atom_site_fract_x
_atom_site_fract_y
_atom_site_fract_z
Na1 0.000 0.186 0.250
Be1 0.000 0.000 0.000
In1 0.000 0.416 0.250
# **Density of states at the Fermi level**: 2.83 states/eV/cell


In terms of stability, ii leads; the second structure lies 5.0 kJ/mol of atoms higher.


--- i ---
# NaBeIn | the Alexandria database | GGA-PBE | relaxed
data_NaBeIn
_space_group_name_H-M_alt 'C 1 2/m 1'
_space_group_IT_number 12
_space_group_name_Hall '-C 2y'
_cell_length_a 6.574
_cell_length_b 3.884
_cell_length_c 11.269
_cell_angle_alpha 90.00
_cell_angle_beta 100.39
_cell_angle_gamma 90.00
loop_
_atom_site_label
_atom_site_fract_x
_atom_site_fract_y
_atom_site_fract_z
Na1 0.224 0.000 0.142
Be1 0.168 0.500 0.501
In1 0.045 0.000 0.645
# **Density of states at the Fermi level**: 1.82 states/eV/cell


--- ii ---
# NaBeIn | the Alexandria database | GGA-PBE | relaxed
data_NaBeIn
_space_group_name_H-M_alt 'C 1 m 1'
_space_group_IT_number 8
_space_group_name_Hall 'C -2y'
_cell_length_a 7.056
_cell_length_b 4.097
_cell_length_c 10.773
_cell_angle_alpha 90.00
_cell_angle_beta 103.01
_cell_angle_gamma 90.00
loop_
_atom_site_label
_atom_site_fract_x
_atom_site_fract_y
_atom_site_fract_z
Na1 0.000 0.000 0.000
Na2 0.234 0.000 0.707
Be1 0.128 0.000 0.404
Be2 0.315 0.500 0.454
In1 0.239 0.500 0.217
In2 0.494 0.000 0.494
# **Density of states at the Fermi level**: 3.56 states/eV/cell


--- iii ---
# NaBeIn | the Alexandria database | GGA-PBE | relaxed
data_NaBeIn
_space_group_name_H-M_alt 'C 1 2/m 1'
_space_group_IT_number 12
_space_group_name_Hall '-C 2y'
_cell_length_a 12.910
_cell_length_b 4.034
_cell_length_c 5.240
_cell_angle_alpha 90.00
_cell_angle_beta 110.82
_cell_angle_gamma 90.00
loop_
_atom_site_label
_atom_site_fract_x
_atom_site_fract_y
_atom_site_fract_z
Na1 0.129 0.000 0.356
Be1 0.220 0.000 0.949
In1 0.080 0.500 0.805
# **Density of states at the Fermi level**: 2.24 states/eV/cell


In terms of stability, i leads; the second structure lies 3.3 kJ/mol of atoms higher.


--- i ---
# NaBeIn | the Alexandria database | GGA-PBE | relaxed
data_NaBeIn
_space_group_name_H-M_alt 'R 3 m'
_space_group_IT_number 160
_space_group_name_Hall 'R 3 -2"'
_cell_length_a 3.8338
_cell_length_b 3.8338
_cell_length_c 33.5026
_cell_angle_alpha 90.00
_cell_angle_beta 90.00
_cell_angle_gamma 120.00
loop_
_atom_site_label
_atom_site_fract_x
_atom_site_fract_y
_atom_site_fract_z
Na1 0.0000 0.0000 0.0000
Na2 0.0000 0.0000 0.2375
Be1 0.0000 0.0000 0.1192
Be2 0.0000 0.0000 0.4525
In1 0.0000 0.0000 0.7381
In2 0.0000 0.0000 0.8332
# **Density of states at the Fermi level**: 4.04 states/eV/cell


--- ii ---
# NaBeIn | the Alexandria database | GGA-PBE | relaxed
data_NaBeIn
_space_group_name_H-M_alt 'P 1 21/m 1'
_space_group_IT_number 11
_space_group_name_Hall '-P 2yb'
_cell_length_a 4.932
_cell_length_b 4.151
_cell_length_c 6.561
_cell_angle_alpha 90.00
_cell_angle_beta 100.91
_cell_angle_gamma 90.00
loop_
_atom_site_label
_atom_site_fract_x
_atom_site_fract_y
_atom_site_fract_z
Na1 0.242 0.250 0.459
Be1 0.101 0.250 0.996
In1 0.340 0.750 0.859
# **Density of states at the Fermi level**: 1.72 states/eV/cell


In terms of stability, i leads; the second structure lies 6.1 kJ/mol of atoms higher.


--- i ---
# NaBe3In | the Alexandria database | GGA-PBE | relaxed
data_NaBe3In
_space_group_name_H-M_alt 'P m -3 m'
_space_group_IT_number 221
_space_group_name_Hall '-P 4 2 3'
_cell_length_a 4.537
_cell_length_b 4.537
_cell_length_c 4.537
_cell_angle_alpha 90.00
_cell_angle_beta 90.00
_cell_angle_gamma 90.00
loop_
_atom_site_label
_atom_site_fract_x
_atom_site_fract_y
_atom_site_fract_z
Na1 0.000 0.000 0.000
Be1 0.000 0.000 0.500
In1 0.500 0.500 0.500
# **Density of states at the Fermi level**: 2.73 states/eV/cell


--- ii ---
# NaBe3In | the Alexandria database | GGA-PBE | relaxed
data_NaBe3In
_space_group_name_H-M_alt 'P m -3 m'
_space_group_IT_number 221
_space_group_name_Hall '-P 4 2 3'
_cell_length_a 4.624
_cell_length_b 4.624
_cell_length_c 4.624
_cell_angle_alpha 90.00
_cell_angle_beta 90.00
_cell_angle_gamma 90.00
loop_
_atom_site_label
_atom_site_fract_x
_atom_site_fract_y
_atom_site_fract_z
Na1 0.000 0.000 0.000
Be1 0.000 0.500 0.500
In1 0.500 0.500 0.500
# **Density of states at the Fermi level**: 1.70 states/eV/cell


In terms of stability, ii leads; the second structure lies 60.4 kJ/mol of atoms higher.


--- i ---
# NaBeIn3 | the Alexandria database | GGA-PBE | relaxed
data_NaBeIn3
_space_group_name_H-M_alt 'P m -3 m'
_space_group_IT_number 221
_space_group_name_Hall '-P 4 2 3'
_cell_length_a 5.491
_cell_length_b 5.491
_cell_length_c 5.491
_cell_angle_alpha 90.00
_cell_angle_beta 90.00
_cell_angle_gamma 90.00
loop_
_atom_site_label
_atom_site_fract_x
_atom_site_fract_y
_atom_site_fract_z
Na1 0.000 0.000 0.000
Be1 0.500 0.500 0.500
In1 0.000 0.000 0.500
# **Density of states at the Fermi level**: 3.79 states/eV/cell


--- ii ---
# NaBeIn3 | the Alexandria database | GGA-PBE | relaxed
data_NaBeIn3
_space_group_name_H-M_alt 'P m -3 m'
_space_group_IT_number 221
_space_group_name_Hall '-P 4 2 3'
_cell_length_a 5.036
_cell_length_b 5.036
_cell_length_c 5.036
_cell_angle_alpha 90.00
_cell_angle_beta 90.00
_cell_angle_gamma 90.00
loop_
_atom_site_label
_atom_site_fract_x
_atom_site_fract_y
_atom_site_fract_z
Na1 0.000 0.000 0.000
Be1 0.500 0.500 0.500
In1 0.000 0.500 0.500
# **Density of states at the Fermi level**: 3.67 states/eV/cell


In terms of stability, ii leads; the second structure lies 81.7 kJ/mol of atoms higher.


--- i ---
# Na2BeIn | the Alexandria database | GGA-PBE | relaxed
data_Na2BeIn
_space_group_name_H-M_alt 'I -4 2 d'
_space_group_IT_number 122
_space_group_name_Hall 'I -4 2bw'
_cell_length_a 10.441
_cell_length_b 10.441
_cell_length_c 4.634
_cell_angle_alpha 90.00
_cell_angle_beta 90.00
_cell_angle_gamma 90.00
loop_
_atom_site_label
_atom_site_fract_x
_atom_site_fract_y
_atom_site_fract_z
Na1 0.099 0.750 0.125
Be1 0.000 0.000 0.000
In1 0.000 0.000 0.500
# **Density of states at the Fermi level**: 6.83 states/eV/cell


--- ii ---
# Na2BeIn | the Alexandria database | GGA-PBE | relaxed
data_Na2BeIn
_space_group_name_H-M_alt 'F m -3 m'
_space_group_IT_number 225
_space_group_name_Hall '-F 4 2 3'
_cell_length_a 7.193
_cell_length_b 7.193
_cell_length_c 7.193
_cell_angle_alpha 90.00
_cell_angle_beta 90.00
_cell_angle_gamma 90.00
loop_
_atom_site_label
_atom_site_fract_x
_atom_site_fract_y
_atom_site_fract_z
Na1 0.250 0.250 0.250
Be1 0.000 0.000 0.000
In1 0.000 0.000 0.500
# **Density of states at the Fermi level**: 7.72 states/eV/cell


In terms of stability, i leads; the second structure lies 11.0 kJ/mol of atoms higher.


--- i ---
# Be3NbIn | the Alexandria database | GGA-PBE | relaxed
data_Be3NbIn
_space_group_name_H-M_alt 'P m -3 m'
_space_group_IT_number 221
_space_group_name_Hall '-P 4 2 3'
_cell_length_a 4.491
_cell_length_b 4.491
_cell_length_c 4.491
_cell_angle_alpha 90.00
_cell_angle_beta 90.00
_cell_angle_gamma 90.00
loop_
_atom_site_label
_atom_site_fract_x
_atom_site_fract_y
_atom_site_fract_z
Be1 0.000 0.000 0.500
Nb1 0.000 0.000 0.000
In1 0.500 0.500 0.500
# **Density of states at the Fermi level**: 2.71 states/eV/cell


--- ii ---
# Be3NbIn | the Alexandria database | GGA-PBE | relaxed
data_Be3NbIn
_space_group_name_H-M_alt 'P m -3 m'
_space_group_IT_number 221
_space_group_name_Hall '-P 4 2 3'
_cell_length_a 4.325
_cell_length_b 4.325
_cell_length_c 4.325
_cell_angle_alpha 90.00
_cell_angle_beta 90.00
_cell_angle_gamma 90.00
loop_
_atom_site_label
_atom_site_fract_x
_atom_site_fract_y
_atom_site_fract_z
Be1 0.000 0.000 0.500
Nb1 0.500 0.500 0.500
In1 0.000 0.000 0.000
# **Density of states at the Fermi level**: 3.42 states/eV/cell


In terms of stability, i leads; the second structure lies 1.9 kJ/mol of atoms higher.


--- i ---
# BeNbIn3 | the Alexandria database | GGA-PBE | relaxed
data_BeNbIn3
_space_group_name_H-M_alt 'P m -3 m'
_space_group_IT_number 221
_space_group_name_Hall '-P 4 2 3'
_cell_length_a 5.453
_cell_length_b 5.453
_cell_length_c 5.453
_cell_angle_alpha 90.00
_cell_angle_beta 90.00
_cell_angle_gamma 90.00
loop_
_atom_site_label
_atom_site_fract_x
_atom_site_fract_y
_atom_site_fract_z
Be1 0.000 0.000 0.000
Nb1 0.500 0.500 0.500
In1 0.000 0.500 0.500
# **Density of states at the Fermi level**: 4.39 states/eV/cell


--- ii ---
# BeNbIn3 | the Alexandria database | GGA-PBE | relaxed
data_BeNbIn3
_space_group_name_H-M_alt 'P m -3 m'
_space_group_IT_number 221
_space_group_name_Hall '-P 4 2 3'
_cell_length_a 4.749
_cell_length_b 4.749
_cell_length_c 4.749
_cell_angle_alpha 90.00
_cell_angle_beta 90.00
_cell_angle_gamma 90.00
loop_
_atom_site_label
_atom_site_fract_x
_atom_site_fract_y
_atom_site_fract_z
Be1 0.000 0.000 0.000
Nb1 0.500 0.500 0.500
In1 0.000 0.000 0.500
# **Density of states at the Fermi level**: 7.31 states/eV/cell


In terms of stability, ii leads; the second structure lies 30.9 kJ/mol of atoms higher.


--- i ---
# BeInNi3 | the Alexandria database | GGA-PBE | relaxed
data_BeInNi3
_space_group_name_H-M_alt 'P m -3 m'
_space_group_IT_number 221
_space_group_name_Hall '-P 4 2 3'
_cell_length_a 4.608
_cell_length_b 4.608
_cell_length_c 4.608
_cell_angle_alpha 90.00
_cell_angle_beta 90.00
_cell_angle_gamma 90.00
loop_
_atom_site_label
_atom_site_fract_x
_atom_site_fract_y
_atom_site_fract_z
Be1 0.000 0.000 0.000
In1 0.500 0.500 0.500
Ni1 0.000 0.500 0.500
# **Density of states at the Fermi level**: 4.05 states/eV/cell


--- ii ---
# BeInNi3 | the Alexandria database | GGA-PBE | relaxed
data_BeInNi3
_space_group_name_H-M_alt 'P m -3 m'
_space_group_IT_number 221
_space_group_name_Hall '-P 4 2 3'
_cell_length_a 3.983
_cell_length_b 3.983
_cell_length_c 3.983
_cell_angle_alpha 90.00
_cell_angle_beta 90.00
_cell_angle_gamma 90.00
loop_
_atom_site_label
_atom_site_fract_x
_atom_site_fract_y
_atom_site_fract_z
Be1 0.000 0.000 0.000
In1 0.500 0.500 0.500
Ni1 0.000 0.000 0.500
# **Density of states at the Fermi level**: 3.39 states/eV/cell


In terms of stability, ii leads; the second structure lies 141.1 kJ/mol of atoms higher.


--- i ---
# Be2InNi2 | the Alexandria database | GGA-PBE | relaxed
data_Be2InNi2
_space_group_name_H-M_alt 'P 4/m b m'
_space_group_IT_number 127
_space_group_name_Hall '-P 4 2ab'
_cell_length_a 6.453
_cell_length_b 6.453
_cell_length_c 2.749
_cell_angle_alpha 90.00
_cell_angle_beta 90.00
_cell_angle_gamma 90.00
loop_
_atom_site_label
_atom_site_fract_x
_atom_site_fract_y
_atom_site_fract_z
Be1 0.120 0.380 0.000
In1 0.000 0.000 0.000
Ni1 0.162 0.662 0.500
# **Density of states at the Fermi level**: 4.56 states/eV/cell


--- ii ---
# Be2InNi2 | the Alexandria database | GGA-PBE | relaxed
data_Be2InNi2
_space_group_name_H-M_alt 'P 4/m b m'
_space_group_IT_number 127
_space_group_name_Hall '-P 4 2ab'
_cell_length_a 6.611
_cell_length_b 6.611
_cell_length_c 2.724
_cell_angle_alpha 90.00
_cell_angle_beta 90.00
_cell_angle_gamma 90.00
loop_
_atom_site_label
_atom_site_fract_x
_atom_site_fract_y
_atom_site_fract_z
Be1 0.141 0.359 0.000
In1 0.000 0.000 0.500
Ni1 0.140 0.640 0.500
# **Density of states at the Fermi level**: 4.73 states/eV/cell


--- iii ---
# Be2InNi2 | the Alexandria database | GGA-PBE | relaxed
data_Be2InNi2
_space_group_name_H-M_alt 'I 4/m m m'
_space_group_IT_number 139
_space_group_name_Hall '-I 4 2'
_cell_length_a 3.184
_cell_length_b 3.184
_cell_length_c 12.078
_cell_angle_alpha 90.00
_cell_angle_beta 90.00
_cell_angle_gamma 90.00
loop_
_atom_site_label
_atom_site_fract_x
_atom_site_fract_y
_atom_site_fract_z
Be1 0.000 0.500 0.250
In1 0.000 0.000 0.000
Ni1 0.000 0.000 0.383
# **Density of states at the Fermi level**: 2.77 states/eV/cell


In terms of stability, i leads; the second structure lies 11.3 kJ/mol of atoms higher.